Entry 1:
DFT (PBE) results for B3RhAu after structural relaxation.

The crystal system is cubic. The value obtained for the formation energy is 1119 meV per atom. The total energy comes out at -5.014 eV/atom. As for the space group: No. 221. The density of states at the Fermi level comes out at 1.92 states/eV per cell.

Cell and atoms, written as POSCAR:
```
B3RhAu
1.0
4.089 0.000 0.000
0.000 4.089 0.000
0.000 0.000 4.089
B Rh Au
3 1 1
direct
0.000 0.000 0.500
0.000 0.500 0.000
0.500 0.000 0.000
0.000 0.000 0.000
0.500 0.500 0.500
```

=====

Entry 2:
DFT (PBE) results for NiP2Se after structural relaxation.

The crystal system is tetragonal. The total energy comes out at -4.672 eV/atom. As for the space group: No. 99. The density of states at the Fermi level comes out at 1.39 states/eV per cell. As for the uncorrected formation energy: 0.350 eV/atom.

Cell and atoms, written as POSCAR:
```
NiP2Se
1.0
2.688 0.000 0.000
0.000 2.688 0.000
0.000 0.000 9.137
Ni P Se
1 2 1
direct
0.000 0.000 0.000
0.000 0.000 0.403
0.500 0.500 0.152
0.500 0.500 0.773
```

=====

Please write out number 2 again, unchanged.
DFT (PBE) results for NiP2Se after structural relaxation.

The crystal system is tetragonal. The total energy comes out at -4.672 eV/atom. As for the space group: No. 99. The density of states at the Fermi level comes out at 1.39 states/eV per cell. As for the uncorrected formation energy: 0.350 eV/atom.

Cell and atoms, written as POSCAR:
```
NiP2Se
1.0
2.688 0.000 0.000
0.000 2.688 0.000
0.000 0.000 9.137
Ni P Se
1 2 1
direct
0.000 0.000 0.000
0.000 0.000 0.403
0.500 0.500 0.152
0.500 0.500 0.773
```

=====

Question: Which formula does entry 1 have?
Answer: B3RhAu